The following is a DFT calculation (PBE-GGA) of a relaxed CaAlB2 crystal.

Cell lengths 4.2284, 4.2284, 14.2893 Å; angles 90.00, 90.00, 90.00 degrees
Closest atoms and distances in Å follow each position.
Space group I4_1/amd (No. 141, origin choice 2)
Unique sites:
Ca 0.0000 0.2500 0.3750 (multiplicity 4)  8 B 2.96, 4 Al 2.99
Al 0.0000 0.2500 0.8750 (multiplicity 4)  4 B 2.08
B 0.0000 0.0000 0.0000 (multiplicity 8)  2 Al 2.08, 2 B 2.11

DOS at the Fermi energy: 7.6 states/eV per cell
DFT formation energy: 389 meV per atom
V: 255 Å³ per cell